1.
Density functional theory data (PBE-GGA) for Co5As2 after structural relaxation.

Unit cell a=6.787 b=6.787 c=12.373 alpha=90.00 beta=90.00 gamma=120.00
Site moments in Bohr magnetons follow the coordinates.
Sites, in units of the cell vectors:
As 0.329 0.000 0.016  -0.02
As 0.000 0.329 0.016  -0.02
Co 0.000 0.627 0.712  0.82
As 0.333 0.667 0.790  -0.03
Co 0.630 0.000 0.923  1.13
As 0.329 0.329 0.516  -0.02
Co 0.693 0.693 0.822  0.64
As 0.667 0.333 0.790  -0.03
Co 0.000 0.000 0.947  0.72
Co 0.333 0.667 0.586  0.88
As 0.671 0.000 0.516  -0.02
As 0.667 0.333 0.290  -0.03
Co 0.693 0.000 0.322  0.64
Co 0.373 0.373 0.712  0.82
Co 0.730 0.730 0.617  1.10
Co 0.333 0.667 0.086  0.88
Co 0.370 0.370 0.923  1.13
Co 0.000 0.693 0.322  0.64
Co 0.373 0.000 0.212  0.82
Co 0.000 0.270 0.617  1.10
Co 0.627 0.627 0.212  0.82
Co 0.370 0.000 0.423  1.13
As 0.000 0.000 0.245  -0.04
Co 0.000 0.000 0.447  0.72
Co 0.630 0.630 0.423  1.13
Co 0.627 0.000 0.712  0.82
As 0.333 0.667 0.290  -0.03
As 0.000 0.671 0.516  -0.02
Co 0.307 0.307 0.322  0.64
Co 0.000 0.370 0.423  1.13
Co 0.000 0.373 0.212  0.82
Co 0.000 0.307 0.822  0.64
Co 0.270 0.270 0.117  1.10
Co 0.667 0.333 0.086  0.88
Co 0.730 0.000 0.117  1.10
Co 0.000 0.630 0.923  1.13
Co 0.307 0.000 0.822  0.64
As 0.671 0.671 0.016  -0.02
Co 0.000 0.730 0.117  1.10
Co 0.270 0.000 0.617  1.10
As 0.000 0.000 0.745  -0.04
Co 0.667 0.333 0.586  0.88

DFT formation energy	-0.10	eV per atom
VASP energy	-6.5033	eV/atom
size of the total moment	4.36	μB/f.u.


2.
Density functional theory data (PBE-GGA) for ZnFeRe3 after structural relaxation.

Unit cell a=4.416 b=4.416 c=4.416 alpha=90.00 beta=90.00 gamma=90.00
Sites, in units of the cell vectors:
Fe 0.500 0.500 0.500
Re 0.000 0.500 0.000
Re 0.000 0.000 0.500
Re 0.500 0.000 0.000
Zn 0.000 0.000 0.000

DFT formation energy	2.38	eV per atom
VASP energy	-7.0399	eV/atom
size of the total moment	0.00	μB/f.u.
ΔE to the lowest computed polymorph	0.796	eV per atom